Entry 1:
# GdMgIrRh

A relaxed GdMgIrRh crystal (GGA-PBE, the Alexandria database).

abc: 4.6754 4.6754 4.6754
angles: 60.00 60.00 60.00
With the nearest neighbours (Å) after each atom.
Element x y z (fractional)
Ir 0.7500 0.7500 0.7500  4 Gd 2.86, 4 Mg 2.86
Gd 0.5000 0.5000 0.5000  4 Ir 2.86, 4 Rh 2.86
Rh 0.2500 0.2500 0.2500  4 Gd 2.86, 4 Mg 2.86
Mg 0.0000 0.0000 0.0000  4 Ir 2.86, 4 Rh 2.86

Output
E: -34.213 eV for the cell shown
ΔE_f: -0.5813 eV per atom

---

Entry 2:
# K2ZrI2Cl4

A relaxed K2ZrI2Cl4 crystal (GGA-PBE, the Alexandria database).

abc: 7.7668 7.7668 7.7668
angles: 86.06 122.30 122.30
With the nearest neighbours (Å) after each atom.
Element x y z (fractional)
I 0.0000 0.2573 0.2573  1 Zr 2.92
I 0.0000 0.7427 0.7427  1 Zr 2.92
Zr 0.0000 0.0000 0.0000  4 Cl 2.47
K 0.5000 0.7500 0.2500  4 I 3.75, 8 Cl 3.89
K 0.5000 0.2500 0.7500  4 I 3.75, 8 Cl 3.89
Cl 0.4661 0.2330 0.2330  1 Zr 2.47
Cl 0.0000 0.7670 0.2330  1 Zr 2.47
Cl 0.0000 0.2330 0.7670  1 Zr 2.47
Cl 0.5339 0.7670 0.7670  1 Zr 2.47

Output
E: -36.112 eV for the cell shown
energy relative to the elements, uncorrected: -1.65 eV per atom

---

Entry 3:
# PrPuAu4

A relaxed PrPuAu4 crystal (GGA-PBE, the Alexandria database).

abc: 5.7356 5.7356 5.7356
angles: 60.00 60.00 60.00
With the nearest neighbours (Å) after each atom.
Element x y z (fractional)
Pu 0.2500 0.2500 0.2500  12 Au 3.36, 4 Pr 3.51
Au 0.6248 0.6248 0.1257  6 Au 2.86-2.87
Au 0.6248 0.1257 0.6248  6 Au 2.86-2.87
Au 0.1257 0.6248 0.6248  6 Au 2.86-2.87
Au 0.6248 0.6248 0.6248  6 Au 2.86-2.87
Pr 0.0000 0.0000 0.0000  12 Au 3.36, 4 Pu 3.51

Output
E: -34.652 eV for the cell shown
ΔE_f: -0.4053 eV per atom
offset from the most stable computed form: 1.20 eV per formula unit

---

Entry 4:
# AsPt4Pb

A relaxed AsPt4Pb crystal (GGA-PBE, the Alexandria database).

abc: 5.4100 5.4100 5.4100
angles: 60.00 60.00 60.00
With the nearest neighbours (Å) after each atom.
Element x y z (fractional)
Pt 0.8731 0.3756 0.3756  6 Pt 2.69-2.72
Pt 0.3756 0.8731 0.3756  6 Pt 2.69-2.72
Pt 0.3756 0.3756 0.3756  6 Pt 2.69-2.72
Pt 0.3756 0.3756 0.8731  6 Pt 2.69-2.72
As 0.7500 0.7500 0.7500  12 Pt 3.17, 4 Pb 3.31
Pb 0.0000 0.0000 0.0000  12 Pt 3.17, 4 As 3.31

Output
E: -32.071 eV for the cell shown
ΔE_f: 0.0749 eV per atom
offset from the most stable computed form: 1.03 eV per formula unit

---

Entry 5:
# Na2Hg2Sb

A relaxed Na2Hg2Sb crystal (GGA-PBE, the Alexandria database).

abc: 4.3773 4.3773 7.7272
angles: 73.55 73.55 90.00
With the nearest neighbours (Å) after each atom.
Element x y z (fractional)
Sb 0.0000 0.0000 0.0000  8 Hg 3.42
Na 0.2500 0.7500 0.5000  4 Hg 3.03, 4 Na 3.10
Na 0.7500 0.2500 0.5000  4 Hg 3.03, 4 Na 3.10
Hg 0.6025 0.6025 0.7951  1 Hg 2.90, 4 Na 3.03
Hg 0.3975 0.3975 0.2049  1 Hg 2.90, 4 Na 3.03

Output
E: -7.485 eV for the cell shown
energy relative to the elements, uncorrected: -0.02 eV per atom
offset from the most stable computed form: 1.10 eV per formula unit

---

Entry 6:
# PrDyHo2Er

A relaxed PrDyHo2Er crystal (GGA-PBE, the Alexandria database).

abc: 7.1960 8.3835 7.1037
angles: 126.16 90.00 90.00
With the nearest neighbours (Å) after each atom.
Element x y z (fractional)
Dy 0.7500 0.0010 0.0020  1 Pr 3.11, 4 Ho 3.16, 1 Er 3.20
Dy 0.2500 0.9990 0.9980  1 Pr 3.11, 4 Ho 3.16, 1 Er 3.20
Ho 0.0000 0.3104 0.0000  2 Dy 3.16, 1 Ho 3.18, 2 Er 3.50
Ho 0.0000 0.6896 0.0000  2 Dy 3.16, 1 Ho 3.18, 2 Er 3.50
Ho 0.5000 0.3104 0.0000  2 Dy 3.16, 1 Ho 3.18, 2 Er 3.50
Ho 0.5000 0.6896 0.0000  2 Dy 3.16, 1 Ho 3.18, 2 Er 3.50
Pr 0.7500 0.2717 0.5434  1 Dy 3.11
Pr 0.2500 0.7283 0.4566  1 Dy 3.11
Er 0.2500 0.2780 0.5560  1 Dy 3.20, 4 Ho 3.50
Er 0.7500 0.7220 0.4440  1 Dy 3.20, 4 Ho 3.50

Output
E: -42.387 eV for the cell shown
ΔE_f: 0.3813 eV per atom

---

Entry 7:
# Tb3Cd2Ag4

A relaxed Tb3Cd2Ag4 crystal (GGA-PBE, the Alexandria database).

abc: 4.8334 5.9353 9.1108
angles: 117.35 90.00 114.03
With the nearest neighbours (Å) after each atom.
Element x y z (fractional)
Cd 0.6264 0.2527 0.2924  3 Ag 2.81-2.82
Cd 0.3736 0.7473 0.7076  3 Ag 2.81-2.82
Ag 0.7252 0.4504 0.0591  2 Ag 2.81, 1 Cd 2.82
Ag 0.2748 0.5496 0.9409  2 Ag 2.81, 1 Cd 2.82
Ag 0.9390 0.8780 0.6051  2 Cd 2.81, 1 Ag 2.82
Ag 0.0610 0.1220 0.3949  2 Cd 2.81, 1 Ag 2.82
Tb 0.0000 0.0000 0.0000  8 Ag 3.28-3.31, 4 Cd 3.34, 2 Tb 3.37
Tb 0.6598 0.3195 0.6779  8 Ag 3.18-3.41, 4 Cd 3.25-3.34, 2 Tb 3.35-3.37
Tb 0.3402 0.6805 0.3221  8 Ag 3.18-3.41, 4 Cd 3.25-3.34, 2 Tb 3.35-3.37

Output
E: -29.679 eV for the cell shown
ΔE_f: -0.2837 eV per atom

---

Entry 8:
# CaGa3Pt5

A relaxed CaGa3Pt5 crystal (GGA-PBE, the Alexandria database).

abc: 4.0136 6.8390 12.8757
angles: 90.00 90.00 107.06
With the nearest neighbours (Å) after each atom.
Element x y z (fractional)
Pt 0.0000 0.0000 0.5000  4 Ga 2.60, 6 Pt 2.77-2.81
Pt 0.5478 0.0956 0.6445  4 Ga 2.54-2.60, 3 Pt 2.72-2.81
Pt 0.8010 0.6019 0.0726  2 Ga 2.40-2.53
Pt 0.1990 0.3981 0.5726  2 Ga 2.40-2.53
Pt 0.4522 0.9044 0.1445  4 Ga 2.54-2.60, 3 Pt 2.72-2.81
Pt 0.5478 0.0956 0.8555  4 Ga 2.54-2.60, 3 Pt 2.72-2.81
Pt 0.0000 0.0000 0.0000  4 Ga 2.60, 6 Pt 2.77-2.81
Pt 0.4522 0.9044 0.3555  4 Ga 2.54-2.60, 3 Pt 2.72-2.81
Pt 0.8010 0.6019 0.4274  2 Ga 2.40-2.53
Pt 0.1990 0.3981 0.9274  2 Ga 2.40-2.53
Ga 0.6194 0.2388 0.0437  5 Pt 2.40-2.60
Ga 0.3806 0.7612 0.5437  5 Pt 2.40-2.60
Ga 0.1151 0.2302 0.7500  6 Pt 2.53-2.58
Ga 0.8849 0.7698 0.2500  6 Pt 2.53-2.58
Ga 0.3806 0.7612 0.9563  5 Pt 2.40-2.60
Ga 0.6194 0.2388 0.4563  5 Pt 2.40-2.60
Ca 0.8606 0.7213 0.7500  5 Ga 3.33-3.34, 10 Pt 3.44-3.70
Ca 0.1394 0.2787 0.2500  5 Ga 3.33-3.34, 10 Pt 3.44-3.70

Output
E: -94.309 eV for the cell shown
ΔE_f: -0.6520 eV per atom

---

Entry 9:
# Mn2B2W

A relaxed Mn2B2W crystal (GGA-PBE, the Alexandria database).

abc: 2.8617 3.8812 8.8417
angles: 96.12 90.00 90.00
With the nearest neighbours (Å) after each atom.
Element x y z (fractional)
Mn 0.7500 0.1487 0.1057  5 B 2.01-2.07
Mn 0.2500 0.2512 0.5062  2 B 2.08
Mn 0.2500 0.8513 0.8943  5 B 2.01-2.07
Mn 0.7500 0.7488 0.4938  2 B 2.08
B 0.7500 0.6288 0.0231  2 B 1.77
B 0.2500 0.7927 0.6652  3 Mn 2.01-2.08
B 0.2500 0.3712 0.9769  2 B 1.77
B 0.7500 0.2073 0.3348  3 Mn 2.01-2.08
W 0.2500 0.6805 0.2449  7 B 2.42-2.55, 4 Mn 2.61-2.70
W 0.7500 0.3195 0.7551  7 B 2.42-2.55, 4 Mn 2.61-2.70

Output
E: -91.625 eV for the cell shown
ΔE_f: -0.2330 eV per atom
offset from the most stable computed form: 0.00 eV per formula unit

---

Entry 10:
# Nd5TmCd6

A relaxed Nd5TmCd6 crystal (GGA-PBE, the Alexandria database).

abc: 5.3967 7.7055 8.5552
angles: 90.00 71.61 90.00
With the nearest neighbours (Å) after each atom.
Element x y z (fractional)
Cd 0.8377 0.2436 0.3246  1 Tm 3.24, 7 Nd 3.29-3.37
Cd 0.1623 0.7564 0.6754  1 Tm 3.24, 7 Nd 3.29-3.37
Cd 0.8377 0.7564 0.3246  1 Tm 3.24, 7 Nd 3.29-3.37
Cd 0.5000 0.2428 0.0000  6 Nd 3.27-3.39, 2 Tm 3.28
Cd 0.5000 0.7572 0.0000  6 Nd 3.27-3.39, 2 Tm 3.28
Cd 0.1623 0.2436 0.6754  1 Tm 3.24, 7 Nd 3.29-3.37
Nd 0.6655 0.0000 0.6690  8 Cd 3.27-3.37
Nd 0.3304 0.5000 0.3392  8 Cd 3.35-3.39
Nd 0.6696 0.5000 0.6608  8 Cd 3.35-3.39
Nd 0.0000 0.5000 0.0000  8 Cd 3.29-3.35
Nd 0.3345 0.0000 0.3310  8 Cd 3.27-3.37
Tm 0.0000 0.0000 0.0000  8 Cd 3.24-3.28

Output
E: -37.546 eV for the cell shown
ΔE_f: -0.3120 eV per atom

---

Entry 11:
# La2MgCdCo

A relaxed La2MgCdCo crystal (GGA-PBE, the Alexandria database).

abc: 5.2235 5.2235 5.1071
angles: 90.00 90.00 90.00
With the nearest neighbours (Å) after each atom.
Element x y z (fractional)
La 0.0000 0.5000 0.0000  2 Co 2.61
La 0.5000 0.0000 0.0000  2 Co 2.61
Co 0.0000 0.0000 0.0000  2 Mg 2.55, 4 La 2.61
Mg 0.0000 0.0000 0.5000  2 Co 2.55
Cd 0.5000 0.5000 0.5000  8 La 3.65, 4 Mg 3.69

Output
E: -20.411 eV for the cell shown
ΔE_f: -0.1882 eV per atom
offset from the most stable computed form: 0.00 eV per formula unit

---

Entry 12:
# Li7YTl4

A relaxed Li7YTl4 crystal (GGA-PBE, the Alexandria database).

abc: 5.2675 9.1488 6.1630
angles: 83.84 64.70 73.27
With the nearest neighbours (Å) after each atom.
Element x y z (fractional)
Tl 0.2959 0.3140 0.0943  6 Li 2.71-2.96
Tl 0.7041 0.6860 0.9057  6 Li 2.71-2.96
Tl 0.3868 0.8008 0.4256  5 Li 2.69-2.97
Tl 0.6132 0.1992 0.5744  5 Li 2.69-2.97
Li 0.0446 0.6219 0.2889  2 Li 2.76-3.00, 1 Tl 2.89
Li 0.3411 0.5613 0.7564  4 Tl 2.82-2.96, 4 Li 3.00-3.09
Li 0.6589 0.4387 0.2436  4 Tl 2.82-2.96, 4 Li 3.00-3.09
Li 0.9554 0.3781 0.7111  2 Li 2.76-3.00, 1 Tl 2.89
Li 0.7786 0.8924 0.5504  2 Li 2.66-2.76, 4 Tl 2.69-2.84
Li 0.2214 0.1076 0.4496  2 Li 2.66-2.76, 4 Tl 2.69-2.84
Li 0.5000 0.0000 0.0000  2 Y 2.63, 2 Li 2.66, 2 Tl 2.79
Y 0.0000 0.0000 0.0000  2 Li 2.63

Output
E: -30.251 eV for the cell shown
ΔE_f: -0.0771 eV per atom